1.
A geometry-optimized TlCoTe3 structure. Source: the Alexandria database, functional PBE.

Calculated values
As for the uncorrected formation energy: 1.31 eV/atom. As for the crystal system: cubic. For the total moment, the calculation gives 0.573 μB/atom. As for the calculated density: 5.7 g/cm³.

Cell lengths 5.734, 5.734, 5.734 Å; angles 90.00, 90.00, 90.00 degrees
Space group Pm-3m (No. 221)
Symmetry-distinct sites (fractional):
Tl: 0.000 0.000 0.000 [1 per cell]
Co: 0.500 0.500 0.500 [1 per cell]
Te: 0.000 0.000 0.500 [3 per cell]

2.
A geometry-optimized ErPaAs2N structure. Source: the Alexandria database, functional PBE.

Calculated values
As for the uncorrected formation energy: -1.26 eV/atom. As for the crystal system: tetragonal. For the total moment, the calculation gives 0.000 μB/atom. As for the calculated density: 8.8 g/cm³.

Cell lengths 3.964, 3.964, 13.486 Å; angles 90.00, 90.00, 90.00 degrees
Space group P4/nmm (No. 129, origin choice 2)
Symmetry-distinct sites (fractional):
Er: 0.250 0.250 0.105 [2 per cell]
Pa: 0.250 0.250 0.588 [2 per cell]
As: 0.250 0.250 0.314 [2 per cell]
As: 0.250 0.250 0.886 [2 per cell]
N: 0.250 0.750 0.500 [2 per cell]

3.
A geometry-optimized CaFeN2 structure. Source: the Alexandria database, functional PBE.

Calculated values
As for the uncorrected formation energy: -0.42 eV/atom. As for the crystal system: monoclinic. For the total moment, the calculation gives 0.123 μB/atom. As for the calculated density: 3.9 g/cm³.

Cell lengths 6.407, 8.314, 4.641 Å; angles 90.00, 121.26, 90.00 degrees
Space group C2/c (No. 15)
Symmetry-distinct sites (fractional):
Ca: 0.000 0.148 0.250 [4 per cell]
Fe: 0.000 0.482 0.750 [4 per cell]
N: 0.199 0.397 0.169 [8 per cell]

4.
A geometry-optimized CaPr2Er structure. Source: the Alexandria database, functional PBE.

Calculated values
As for the crystal system: trigonal. For the total moment, the calculation gives 0.000 μB/atom. The total DFT energy (no corrections) is -4.001 eV per atom. As for the calculated density: 5.7 g/cm³.

Cell lengths 3.6701, 3.6701, 36.6477 Å; angles 90.00, 90.00, 120.00 degrees
Space group R-3m (No. 166, hexagonal axes)
Symmetry-distinct sites (fractional):
Ca: 0.0000 0.0000 0.0000 [3 per cell]
Pr: 0.0000 0.0000 0.2450 [6 per cell]
Er: 0.0000 0.0000 0.5000 [3 per cell]

5.
A geometry-optimized Ba2Sc structure. Source: the Alexandria database, functional PBE.

Calculated values
As for the crystal system: cubic. For the total moment, the calculation gives 0.187 μB/atom. The total DFT energy (no corrections) is -2.721 eV per atom. As for the calculated density: 3.4 g/cm³.

Cell lengths 8.512, 8.512, 8.512 Å; angles 90.00, 90.00, 90.00 degrees
Space group Pa-3 (No. 205)
Symmetry-distinct sites (fractional):
Ba: 0.146 0.146 0.146 [8 per cell]
Sc: 0.000 0.000 0.500 [4 per cell]

6.
A geometry-optimized KCaV2 structure. Source: the Alexandria database, functional PBE.

Calculated values
As for the crystal system: tetragonal. For the total moment, the calculation gives 0.000 μB/atom. The total DFT energy (no corrections) is -3.829 eV per atom. As for the calculated density: 2.7 g/cm³.

Cell lengths 4.437, 4.437, 22.978 Å; angles 90.00, 90.00, 90.00 degrees
Space group I-42d (No. 122)
Symmetry-distinct sites (fractional):
K: 0.000 0.000 0.000 [4 per cell]
Ca: 0.000 0.000 0.500 [4 per cell]
V: 0.018 0.250 0.625 [8 per cell]

7.
A geometry-optimized PmNdHo2 structure. Source: the Alexandria database, functional PBE.

Calculated values
As for the crystal system: tetragonal. For the total moment, the calculation gives 0.000 μB/atom. The total DFT energy (no corrections) is -4.648 eV per atom. As for the calculated density: 7.8 g/cm³.

Cell lengths 5.102, 5.102, 5.041 Å; angles 90.00, 90.00, 90.00 degrees
Space group P4/mmm (No. 123)
Symmetry-distinct sites (fractional):
Pm: 0.000 0.000 0.000 [1 per cell]
Nd: 0.500 0.500 0.000 [1 per cell]
Ho: 0.000 0.500 0.500 [2 per cell]

8.
A geometry-optimized TmPaRu structure. Source: the Alexandria database, functional PBE.

Calculated values
As for the crystal system: monoclinic. For the total moment, the calculation gives 0.000 μB/atom. The total DFT energy (no corrections) is -8.014 eV per atom. As for the calculated density: 10.8 g/cm³.

Cell lengths 5.224, 4.103, 7.258 Å; angles 90.00, 96.13, 90.00 degrees
Space group P2_1/m (No. 11)
Symmetry-distinct sites (fractional):
Tm: 0.245 0.250 0.418 [2 per cell]
Pa: 0.240 0.250 0.897 [2 per cell]
Ru: 0.272 0.750 0.159 [2 per cell]

9.
A geometry-optimized Tl12PtO7 structure. Source: the Alexandria database, functional PBE.

Calculated values
As for the uncorrected formation energy: -0.52 eV/atom. As for the crystal system: trigonal. For the total moment, the calculation gives 0.000 μB/atom. As for the calculated density: 9.6 g/cm³.

Cell lengths 13.7569, 13.7569, 8.7539 Å; angles 90.00, 90.00, 120.00 degrees
Space group R-3 (No. 148, hexagonal axes)
Symmetry-distinct sites (fractional):
Tl: 0.0458 0.8750 0.3328 [18 per cell]
Tl: 0.0499 0.4528 0.6717 [18 per cell]
Pt: 0.0000 0.0000 0.0000 [3 per cell]
O: 0.0000 0.0000 0.5000 [3 per cell]
O: 0.0378 0.9019 0.8630 [18 per cell]

10.
A geometry-optimized V6HC3N2 structure. Source: the Alexandria database, functional PBE.

Calculated values
As for the crystal system: monoclinic. For the total moment, the calculation gives 0.000 μB/atom. The total DFT energy (no corrections) is -9.185 eV per atom. As for the calculated density: 5.8 g/cm³.

Cell lengths 12.608, 2.932, 5.896 Å; angles 90.00, 102.92, 90.00 degrees
Space group C2/m (No. 12)
Symmetry-distinct sites (fractional):
V: 0.003 0.000 0.267 [4 per cell]
V: 0.166 0.500 0.601 [4 per cell]
V: 0.171 0.500 0.079 [4 per cell]
H: 0.000 0.500 0.000 [2 per cell]
C: 0.000 0.500 0.500 [2 per cell]
C: 0.164 0.000 0.838 [4 per cell]
N: 0.166 0.000 0.331 [4 per cell]

11.
A geometry-optimized PW2 structure. Source: the Alexandria database, functional PBE.

Calculated values
As for the crystal system: cubic. For the total moment, the calculation gives 0.000 μB/atom. The total DFT energy (no corrections) is -9.989 eV per atom. As for the calculated density: 13.8 g/cm³.

Cell lengths 5.769, 5.769, 5.769 Å; angles 90.00, 90.00, 90.00 degrees
Space group Fm-3m (No. 225)
Symmetry-distinct sites (fractional):
P: 0.000 0.000 0.000 [4 per cell]
W: 0.250 0.250 0.250 [8 per cell]

12.
A geometry-optimized KGeAs structure. Source: the Alexandria database, functional PBE.

Calculated values
As for the crystal system: trigonal. For the total moment, the calculation gives 0.000 μB/atom. The total DFT energy (no corrections) is -3.770 eV per atom. As for the calculated density: 3.7 g/cm³.

Cell lengths 3.9460, 3.9460, 6.2809 Å; angles 90.00, 90.00, 120.00 degrees
Space group P3m1 (No. 156)
Symmetry-distinct sites (fractional):
K: 0.0000 0.0000 0.0000 [1 per cell]
Ge: 0.3333 0.6667 0.4172 [1 per cell]
As: 0.6667 0.3333 0.6100 [1 per cell]

13.
A geometry-optimized KZrIn structure. Source: the Alexandria database, functional PBE.

Calculated values
As for the crystal system: triclinic. For the total moment, the calculation gives 0.000 μB/atom. The total DFT energy (no corrections) is -3.995 eV per atom. As for the calculated density: 4.5 g/cm³.

Cell lengths 3.241, 7.008, 8.814 Å; angles 70.15, 89.73, 76.69 degrees
Space group P1 (No. 1)
Symmetry-distinct sites (fractional):
K: 0.000 0.000 0.000 [1 per cell]
K: 0.281 0.401 0.203 [1 per cell]
Zr: 0.295 0.387 0.609 [1 per cell]
Zr: 0.981 0.014 0.593 [1 per cell]
In: 0.599 0.783 0.403 [1 per cell]
In: 0.677 0.618 0.800 [1 per cell]

14.
A geometry-optimized BiTe2RuN structure. Source: the Alexandria database, functional PBE.

Calculated values
As for the uncorrected formation energy: 1.73 eV/atom. As for the crystal system: tetragonal. For the total moment, the calculation gives 0.828 μB/atom. As for the calculated density: 6.5 g/cm³.

Cell lengths 5.890, 5.890, 4.244 Å; angles 90.00, 90.00, 90.00 degrees
Space group P4/mmm (No. 123)
Symmetry-distinct sites (fractional):
Bi: 0.000 0.000 0.000 [1 per cell]
Te: 0.000 0.500 0.000 [2 per cell]
Ru: 0.500 0.500 0.500 [1 per cell]
N: 0.000 0.000 0.500 [1 per cell]

15.
A geometry-optimized SrThAs2Rh5 structure. Source: the Alexandria database, functional PBE.

Calculated values
As for the crystal system: tetragonal. For the total moment, the calculation gives 0.000 μB/atom. The total DFT energy (no corrections) is -6.618 eV per atom. As for the calculated density: 9.4 g/cm³.

Cell lengths 4.853, 4.853, 7.419 Å; angles 90.00, 90.00, 90.00 degrees
Space group P4/mmm (No. 123)
Symmetry-distinct sites (fractional):
Sr: 0.000 0.000 0.000 [1 per cell]
Th: 0.000 0.000 0.500 [1 per cell]
As: 0.500 0.500 0.325 [2 per cell]
Rh: 0.000 0.500 0.289 [4 per cell]
Rh: 0.500 0.500 0.000 [1 per cell]

16.
A geometry-optimized K2SnRu2 structure. Source: the Alexandria database, functional PBE.

Calculated values
As for the crystal system: tetragonal. For the total moment, the calculation gives 0.674 μB/atom. The total DFT energy (no corrections) is -3.743 eV per atom. As for the calculated density: 5.4 g/cm³.

Cell lengths 4.047, 4.047, 14.910 Å; angles 90.00, 90.00, 90.00 degrees
Space group I4/mmm (No. 139)
Symmetry-distinct sites (fractional):
K: 0.000 0.500 0.250 [4 per cell]
Sn: 0.000 0.000 0.000 [2 per cell]
Ru: 0.000 0.000 0.422 [4 per cell]

17.
A geometry-optimized Zr2ZnIrSe structure. Source: the Alexandria database, functional PBE.

Calculated values
As for the uncorrected formation energy: 0.37 eV/atom. As for the crystal system: tetragonal. For the total moment, the calculation gives 0.000 μB/atom. As for the calculated density: 8.0 g/cm³.

Cell lengths 4.941, 4.941, 4.427 Å; angles 90.00, 90.00, 90.00 degrees
Space group P4/mmm (No. 123)
Symmetry-distinct sites (fractional):
Zr: 0.000 0.500 0.000 [2 per cell]
Zn: 0.000 0.000 0.500 [1 per cell]
Ir: 0.500 0.500 0.500 [1 per cell]
Se: 0.000 0.000 0.000 [1 per cell]

18.
A geometry-optimized CrHgTe3 structure. Source: the Alexandria database, functional PBE.

Calculated values
As for the uncorrected formation energy: 0.30 eV/atom. As for the crystal system: cubic. For the total moment, the calculation gives 0.325 μB/atom. As for the calculated density: 7.3 g/cm³.

Cell lengths 5.245, 5.245, 5.245 Å; angles 90.00, 90.00, 90.00 degrees
Space group Pm-3m (No. 221)
Symmetry-distinct sites (fractional):
Cr: 0.000 0.000 0.000 [1 per cell]
Hg: 0.500 0.500 0.500 [1 per cell]
Te: 0.000 0.000 0.500 [3 per cell]

19.
A geometry-optimized DyCd2Pd structure. Source: the Alexandria database, functional PBE.

Calculated values
As for the crystal system: tetragonal. For the total moment, the calculation gives 0.000 μB/atom. The total DFT energy (no corrections) is -3.301 eV per atom. As for the calculated density: 9.4 g/cm³.

Cell lengths 4.174, 4.174, 5.008 Å; angles 90.00, 90.00, 90.00 degrees
Space group P4/mmm (No. 123)
Symmetry-distinct sites (fractional):
Dy: 0.000 0.000 0.000 [1 per cell]
Cd: 0.000 0.500 0.500 [2 per cell]
Pd: 0.500 0.500 0.000 [1 per cell]

20.
A geometry-optimized Ac3P3Cl structure. Source: the Alexandria database, functional PBE.

Calculated values
As for the uncorrected formation energy: -0.88 eV/atom. As for the crystal system: cubic. For the total moment, the calculation gives 0.091 μB/atom. As for the calculated density: 5.8 g/cm³.

Cell lengths 6.157, 6.157, 6.157 Å; angles 90.00, 90.00, 90.00 degrees
Space group Pm-3m (No. 221)
Symmetry-distinct sites (fractional):
Ac: 0.000 0.000 0.500 [3 per cell]
P: 0.000 0.500 0.500 [3 per cell]
Cl: 0.000 0.000 0.000 [1 per cell]

21.
A geometry-optimized SmHo3Tm3Se8 structure. Source: the Alexandria database, functional PBE.

Calculated values
As for the uncorrected formation energy: -1.79 eV/atom. As for the crystal system: trigonal. For the total moment, the calculation gives 0.000 μB/atom. As for the calculated density: 8.0 g/cm³.

Cell lengths 8.0624, 8.0624, 19.7330 Å; angles 90.00, 90.00, 120.00 degrees
Space group R-3m (No. 166, hexagonal axes)
Symmetry-distinct sites (fractional):
Sm: 0.0000 0.0000 0.0000 [3 per cell]
Ho: 0.0000 0.5000 0.5000 [9 per cell]
Tm: 0.0000 0.5000 0.0000 [9 per cell]
Se: 0.0000 0.0000 0.2511 [6 per cell]
Se: 0.0140 0.5070 0.2477 [18 per cell]

22.
A geometry-optimized Li2Tb2PmTl2 structure. Source: the Alexandria database, functional PBE.

Calculated values
As for the crystal system: trigonal. For the total moment, the calculation gives 0.000 μB/atom. The total DFT energy (no corrections) is -3.413 eV per atom. As for the calculated density: 8.0 g/cm³.

Cell lengths 4.8732, 4.8732, 26.9437 Å; angles 90.00, 90.00, 120.00 degrees
Space group R-3m (No. 166, hexagonal axes)
Symmetry-distinct sites (fractional):
Li: 0.0000 0.0000 0.0996 [6 per cell]
Tb: 0.0000 0.0000 0.3724 [6 per cell]
Pm: 0.0000 0.0000 0.5000 [3 per cell]
Tl: 0.0000 0.0000 0.2394 [6 per cell]

23.
A geometry-optimized ThAgH6Pd structure. Source: the Alexandria database, functional PBE.

Calculated values
As for the crystal system: hexagonal. For the total moment, the calculation gives 0.000 μB/atom. The total DFT energy (no corrections) is -4.073 eV per atom. As for the calculated density: 8.9 g/cm³.

Cell lengths 4.6934, 4.6934, 4.4155 Å; angles 90.00, 90.00, 120.00 degrees
Space group P-6m2 (No. 187)
Symmetry-distinct sites (fractional):
Th: 0.0000 0.0000 0.0000 [1 per cell]
Ag: 0.3333 0.6667 0.5000 [1 per cell]
H: 0.5098 0.0196 0.1875 [6 per cell]
Pd: 0.6667 0.3333 0.5000 [1 per cell]

24.
A geometry-optimized La6NiRh2 structure. Source: the Alexandria database, functional PBE.

Calculated values
As for the crystal system: monoclinic. For the total moment, the calculation gives 0.000 μB/atom. The total DFT energy (no corrections) is -6.004 eV per atom. As for the calculated density: 6.8 g/cm³.

Cell lengths 6.853, 7.478, 12.239 Å; angles 90.00, 121.09, 90.00 degrees
Space group P2_1/c (No. 14)
Symmetry-distinct sites (fractional):
La: 0.086 0.057 0.252 [4 per cell]
La: 0.254 0.675 0.080 [4 per cell]
La: 0.396 0.178 0.068 [4 per cell]
Ni: 0.000 0.000 0.000 [2 per cell]
Rh: 0.328 0.116 0.780 [4 per cell]

25.
A geometry-optimized LiAsPb2 structure. Source: the Alexandria database, functional PBE.

Calculated values
As for the crystal system: orthorhombic. For the total moment, the calculation gives 0.000 μB/atom. The total DFT energy (no corrections) is -3.607 eV per atom. As for the calculated density: 8.2 g/cm³.

Cell lengths 4.353, 4.751, 4.847 Å; angles 90.00, 90.00, 90.00 degrees
Space group Pmmm (No. 47)
Symmetry-distinct sites (fractional):
Li: 0.000 0.000 0.000 [1 per cell]
As: 0.000 0.500 0.500 [1 per cell]
Pb: 0.500 0.000 0.500 [1 per cell]
Pb: 0.500 0.500 0.000 [1 per cell]